(1)
! MnFeS3, optimized geometry, DFT PBE-GGA; values from VASP
! Total moment = 7.3 μB/cell
! DOS(E_F) = 5.633 states/eV per cell
! Space-group type = Pm-3m, No. 221
! ρ = 3.7 g cm⁻³
! Energy relative to the lowest polymorph listed for this composition = 89.5 kJ per mole of atoms
! Raw total energy = -27.70 eV/f.u.
&SYSTEM
  ibrav = 0, nat = 5, ntyp = 3
/
ATOMIC_SPECIES
S 32.06 S.upf
Mn 54.94 Mn.upf
Fe 55.84 Fe.upf
ATOMIC_POSITIONS angstrom
S 0.000 2.261 0.000
S 2.261 0.000 0.000
S 0.000 0.000 2.261
Mn 0.000 0.000 0.000
Fe 2.261 2.261 2.261
CELL_PARAMETERS angstrom
4.523 0.000 0.000
0.000 4.523 0.000
0.000 0.000 4.523



(2)
! GdEr2In, optimized geometry, DFT PBE-GGA; values from VASP
! DFT formation energy = -0.13 eV/atom
! Total moment = 8.3 μB/cell
! DOS(E_F) = 6.970 states/eV per cell
! Space-group type = Fm-3m, No. 225
! ρ = 9.0 g cm⁻³
! Energy relative to the lowest polymorph listed for this composition = 14.2 kJ per mole of atoms
! Raw total energy = -26.45 eV/f.u.
&SYSTEM
  ibrav = 0, nat = 4, ntyp = 3
/
ATOMIC_SPECIES
Er 167.26 Er.upf
Gd 157.25 Gd.upf
In 114.82 In.upf
ATOMIC_POSITIONS angstrom
Er 8.123 4.690 3.316
Er 2.708 1.563 1.105
Gd 0.000 0.000 0.000
In 5.415 3.126 2.211
CELL_PARAMETERS angstrom
5.415 0.000 0.000
2.708 4.690 0.000
2.708 1.563 4.421



(3)
! YZrOs, optimized geometry, DFT PBE-GGA; values from VASP
! DFT formation energy = -0.17 eV/atom
! Total moment = 1.1 μB/cell
! DOS(E_F) = 2.496 states/eV per cell
! Space-group type = I4mm, No. 107
! ρ = 9.3 g cm⁻³
! Energy relative to the lowest polymorph listed for this composition = 11.2 kJ per mole of atoms
! Raw total energy = -26.76 eV/f.u.
&SYSTEM
  ibrav = 0, nat = 3, ntyp = 3
/
ATOMIC_SPECIES
Zr 91.22 Zr.upf
Y 88.91 Y.upf
Os 190.23 Os.upf
ATOMIC_POSITIONS angstrom
Zr 7.838 1.951 1.388
Y 4.730 1.181 2.211
Os 0.941 0.244 3.215
CELL_PARAMETERS angstrom
6.350 -0.152 0.163
5.542 3.105 0.152
0.809 0.211 3.250



(4)
! Y2ErTe4, optimized geometry, DFT PBE-GGA; values from VASP
! Total moment = 0.0 μB/cell
! DOS(E_F) = 6.043 states/eV per cell
! Space-group type = Cmcm, No. 63
! ρ = 6.3 g cm⁻³
! Energy relative to the lowest polymorph listed for this composition = 4.8 kJ per mole of atoms
! Raw total energy = -39.43 eV/f.u.
&SYSTEM
  ibrav = 0, nat = 14, ntyp = 3
/
ATOMIC_SPECIES
Er 167.26 Er.upf
Y 88.91 Y.upf
Te 127.60 Te.upf
ATOMIC_POSITIONS angstrom
Er 0.000 5.319 3.738
Er 2.111 1.843 11.214
Y 0.000 1.880 1.044
Y 2.111 5.282 8.520
Y 0.000 1.880 6.432
Y 2.111 5.282 13.908
Te 2.111 0.000 0.000
Te 0.000 3.151 9.315
Te 2.111 4.011 5.637
Te 2.111 4.011 1.839
Te 2.111 6.762 11.214
Te 0.000 0.401 3.738
Te 2.111 0.000 7.476
Te 0.000 3.151 13.113
CELL_PARAMETERS angstrom
4.222 0.000 0.000
-2.111 7.162 0.000
0.000 0.000 14.952